1.
The following is a GGA-PBE calculation of a relaxed structure of TiBe2Rh3, from the Alexandria database.

Cell lengths 2.9306, 2.9306, 8.5804 Å; angles 90.00, 90.00, 90.00 degrees
Closest atoms and distances in Å follow each position.
Positions (direct):
Rh: 0.0000 0.0000 0.3178  4 Be 2.54, 4 Ti 2.60, 1 Rh 2.73
Rh: 0.0000 0.0000 0.0000  8 Be 2.43
Rh: 0.0000 0.0000 0.6822  4 Be 2.54, 4 Ti 2.60, 1 Rh 2.73
Be: 0.5000 0.5000 0.1472  8 Rh 2.43-2.54, 1 Be 2.53
Be: 0.5000 0.5000 0.8528  8 Rh 2.43-2.54, 1 Be 2.53
Ti: 0.5000 0.5000 0.5000  8 Rh 2.60

Values from the calculation:
N(E_F): 3.06 states/eV per cell
Uncorrected energy: -41.677 eV per formula unit
Formation enthalpy at 0 K: -16.434 kcal/mol of atoms
Total magnetization: 0.0 μB per formula unit

2.
The following is a GGA-PBE calculation of a relaxed structure of Nd12Ho7Mg, from the Alexandria database.

Cell lengths 9.3365, 9.3365, 9.3365 Å; angles 107.53, 107.53, 107.53 degrees
Closest atoms and distances in Å follow each position.
Positions (direct):
Ho: 0.8779 0.3191 0.9870  3 Nd 3.22-3.56, 1 Ho 3.35, 1 Mg 3.52
Ho: 0.5000 0.5000 0.5000  12 Nd 3.55-3.67
Ho: 0.1221 0.6809 0.0130  3 Nd 3.22-3.56, 1 Ho 3.35, 1 Mg 3.52
Ho: 0.3191 0.9870 0.8779  3 Nd 3.22-3.56, 1 Ho 3.35, 1 Mg 3.52
Ho: 0.9870 0.8779 0.3191  3 Nd 3.22-3.56, 1 Ho 3.35, 1 Mg 3.52
Ho: 0.6809 0.0130 0.1221  3 Nd 3.22-3.56, 1 Ho 3.35, 1 Mg 3.52
Ho: 0.0130 0.1221 0.6809  3 Nd 3.22-3.56, 1 Ho 3.35, 1 Mg 3.52
Nd: 0.2926 0.3723 0.0651  4 Ho 3.28-3.61, 2 Nd 3.43-3.44, 1 Mg 3.45
Nd: 0.0651 0.2926 0.3723  4 Ho 3.28-3.61, 2 Nd 3.43-3.44, 1 Mg 3.45
Nd: 0.5745 0.7815 0.3015  1 Ho 3.22, 2 Nd 3.43-3.44
Nd: 0.3723 0.0651 0.2926  4 Ho 3.28-3.61, 2 Nd 3.43-3.44, 1 Mg 3.45
Nd: 0.2185 0.6985 0.4255  1 Ho 3.22, 2 Nd 3.43-3.44
Nd: 0.6985 0.4255 0.2185  1 Ho 3.22, 2 Nd 3.43-3.44
Nd: 0.4255 0.2185 0.6985  1 Ho 3.22, 2 Nd 3.43-3.44
Nd: 0.7815 0.3015 0.5745  1 Ho 3.22, 2 Nd 3.43-3.44
Nd: 0.7074 0.6277 0.9349  4 Ho 3.28-3.61, 2 Nd 3.43-3.44, 1 Mg 3.45
Nd: 0.6277 0.9349 0.7074  4 Ho 3.28-3.61, 2 Nd 3.43-3.44, 1 Mg 3.45
Nd: 0.9349 0.7074 0.6277  4 Ho 3.28-3.61, 2 Nd 3.43-3.44, 1 Mg 3.45
Nd: 0.3015 0.5745 0.7815  1 Ho 3.22, 2 Nd 3.43-3.44
Mg: 0.0000 0.0000 0.0000  6 Nd 3.45, 6 Ho 3.52

Values from the calculation:
Excess energy over the best structure of this formula in the dataset: 0 meV/atom
N(E_F): 31.64 states/eV per cell
Uncorrected energy: -88.092 eV per formula unit
Formation enthalpy at 0 K: 3.184 kcal/mol of atoms
Total magnetization: 0.0 μB per formula unit

3.
The following is a GGA-PBE calculation of a relaxed structure of Ag2IF, from the Alexandria database.

Cell lengths 4.0857, 4.0857, 6.4965 Å; angles 71.67, 71.67, 60.00 degrees
Closest atoms and distances in Å follow each position.
Positions (direct):
I: 0.4980 0.4980 0.5060  6 Ag 3.01-3.03, 1 F 3.21
F: 0.6748 0.6748 0.9755  6 Ag 2.54-2.72
Ag: 0.2675 0.2675 0.1976  3 F 2.72, 3 I 3.01
Ag: 0.0597 0.0597 0.8210  3 F 2.54

Values from the calculation:
Excess energy over the best structure of this formula in the dataset: 112 meV/atom
N(E_F): 0.77 states/eV per cell
Uncorrected energy: -11.111 eV per formula unit
Formation energy without anion corrections: -0.50 eV per atom
Total magnetization: 0.0 μB per formula unit

4.
The following is a GGA-PBE calculation of a relaxed structure of Se2ICl, from the Alexandria database.

Cell lengths 6.4237, 6.4246, 8.6056 Å; angles 92.27, 92.23, 100.12 degrees
Closest atoms and distances in Å follow each position.
Positions (direct):
Se: 0.5251 0.9916 0.3052  1 Se 2.33, 1 Cl 2.53
Se: 0.7249 0.7585 0.1948  1 Se 2.33, 1 Cl 2.53
Se: 0.0084 0.4749 0.6949  1 Se 2.33, 1 Cl 2.53
Se: 0.2416 0.2751 0.8051  1 Se 2.33, 1 Cl 2.53
Cl: 0.4654 0.5346 0.0000  2 Se 2.53
Cl: 0.7846 0.2154 0.5000  2 Se 2.53
I: 0.2781 0.7218 0.5001  2 Se 2.79
I: 0.9719 0.0282 0.9999  2 Se 2.79

Values from the calculation:
Excess energy over the best structure of this formula in the dataset: 0 meV/atom
N(E_F): 0.02 states/eV per cell
Uncorrected energy: -10.493 eV per formula unit
Formation energy without anion corrections: -0.03 eV per atom
Total magnetization: 0.0 μB per formula unit

5.
The following is a GGA-PBE calculation of a relaxed structure of CaNiW2, from the Alexandria database.

Cell lengths 4.9755, 4.9755, 5.5602 Å; angles 80.86, 80.86, 31.77 degrees
Closest atoms and distances in Å follow each position.
Positions (direct):
W: 0.9789 0.9789 0.9837  2 Ni 2.59, 5 W 2.64-2.81
W: 0.7341 0.7341 0.8241  5 W 2.64-2.81, 2 Ni 2.67
Ca: 0.5156 0.5156 0.4704  2 Ca 2.72, 3 Ni 2.91-2.94
Ni: 0.2714 0.2714 0.2219  4 W 2.59-2.67, 2 Ni 2.72

Values from the calculation:
Excess energy over the best structure of this formula in the dataset: 196 meV/atom
N(E_F): 3.17 states/eV per cell
Uncorrected energy: -31.158 eV per formula unit
Formation enthalpy at 0 K: 14.592 kcal/mol of atoms
Total magnetization: 0.0 μB per formula unit

6.
The following is a GGA-PBE calculation of a relaxed structure of CdCoBr2, from the Alexandria database.

Cell lengths 3.2789, 3.2792, 9.4521 Å; angles 90.00, 90.00, 90.00 degrees
Closest atoms and distances in Å follow each position.
Positions (direct):
Br: 0.0000 0.0000 0.9181  4 Co 2.81
Br: 0.0000 0.0000 0.5819  4 Co 2.81
Cd: 0.5000 0.5000 0.2500  4 Cd 3.28
Co: 0.5000 0.5000 0.7500  8 Br 2.81

Values from the calculation:
Excess energy over the best structure of this formula in the dataset: 289 meV/atom
N(E_F): 1.80 states/eV per cell
Uncorrected energy: -10.712 eV per formula unit
Formation energy without anion corrections: 0.16 eV per atom
Total magnetization: 2.7 μB per formula unit

7.
The following is a GGA-PBE calculation of a relaxed structure of Na3NpTe6Pb2, from the Alexandria database.

Cell lengths 7.9412, 7.9412, 7.8605 Å; angles 99.75, 99.75, 120.04 degrees
Closest atoms and distances in Å follow each position.
Positions (direct):
Np: 0.0000 0.0000 0.0000  6 Te 3.01-3.03
Te: 0.7704 0.7704 0.2366  1 Np 3.01, 2 Pb 3.24, 2 Na 3.31
Te: 0.2296 0.2296 0.7634  1 Np 3.01, 2 Pb 3.24, 2 Na 3.31
Te: 0.6098 0.9215 0.7634  1 Np 3.03, 3 Na 3.22-3.33, 2 Pb 3.25-3.26
Te: 0.0785 0.3902 0.2366  1 Np 3.03, 3 Na 3.22-3.33, 2 Pb 3.25-3.26
Te: 0.3902 0.0785 0.2366  1 Np 3.03, 3 Na 3.22-3.33, 2 Pb 3.25-3.26
Te: 0.9215 0.6098 0.7634  1 Np 3.03, 3 Na 3.22-3.33, 2 Pb 3.25-3.26
Na: 0.5000 0.5000 0.5000  6 Te 3.22-3.45
Na: 0.8235 0.1765 0.5000  6 Te 3.23-3.33
Na: 0.1765 0.8235 0.5000  6 Te 3.23-3.33
Pb: 0.6650 0.3350 0.0000  6 Te 3.24-3.26
Pb: 0.3350 0.6650 0.0000  6 Te 3.24-3.26

Values from the calculation:
N(E_F): 8.45 states/eV per cell
Uncorrected energy: -51.010 eV per formula unit
Formation energy without anion corrections: -0.65 eV per atom
Total magnetization: 2.0 μB per formula unit

8.
The following is a GGA-PBE calculation of a relaxed structure of TiBeAl, from the Alexandria database.

Cell lengths 4.4799, 4.4799, 5.4891 Å; angles 114.08, 114.08, 90.00 degrees
Closest atoms and distances in Å follow each position.
Positions (direct):
Ti: 0.7301 0.2301 0.4601  3 Be 2.25-2.44
Ti: 0.4801 0.4801 0.9601  3 Be 2.25-2.44
Be: 0.7519 0.7519 0.5037  3 Al 2.24-2.39, 3 Ti 2.25-2.44
Be: 0.0019 0.5019 0.0037  3 Al 2.24-2.39, 3 Ti 2.25-2.44
Al: 0.2681 0.7681 0.5361  3 Be 2.24-2.39
Al: 0.0181 0.0181 0.0361  3 Be 2.24-2.39

Values from the calculation:
Excess energy over the best structure of this formula in the dataset: 643 meV/atom
N(E_F): 3.49 states/eV per cell
Uncorrected energy: -14.300 eV per formula unit
Formation enthalpy at 0 K: 8.176 kcal/mol of atoms
Total magnetization: 0.0 μB per formula unit

9.
The following is a GGA-PBE calculation of a relaxed structure of AcNdThN3, from the Alexandria database.

Cell lengths 3.5841, 7.3988, 10.0218 Å; angles 83.97, 90.00, 90.00 degrees
Closest atoms and distances in Å follow each position.
Positions (direct):
Th: 0.7500 0.3929 0.8698  5 N 2.27-2.49
Th: 0.2500 0.6071 0.1302  5 N 2.27-2.49
Nd: 0.2500 0.2000 0.5087  3 N 2.33-2.34
Nd: 0.7500 0.8000 0.4913  3 N 2.33-2.34
N: 0.7500 0.0963 0.3868  3 Nd 2.33-2.34
N: 0.2500 0.1681 0.8862  2 Th 2.44, 1 Ac 2.72
N: 0.2500 0.6171 0.9029  3 Th 2.27-2.49
N: 0.2500 0.9037 0.6132  3 Nd 2.33-2.34
N: 0.7500 0.8319 0.1138  2 Th 2.44, 1 Ac 2.72
N: 0.7500 0.3829 0.0971  3 Th 2.27-2.49
Ac: 0.7500 0.8981 0.8413  7 N 2.72-2.90
Ac: 0.2500 0.1019 0.1587  7 N 2.72-2.90

Values from the calculation:
N(E_F): 3.30 states/eV per cell
Uncorrected energy: -48.320 eV per formula unit
Formation energy without anion corrections: -1.17 eV per atom
Total magnetization: 0.0 μB per formula unit

10.
The following is a GGA-PBE calculation of a relaxed structure of SrTiPS2, from the Alexandria database.

Cell lengths 5.2881, 5.2881, 5.2642 Å; angles 90.00, 90.00, 90.00 degrees
Closest atoms and distances in Å follow each position.
Positions (direct):
Ti: 0.5000 0.5000 0.5000  8 S 3.73, 4 P 3.74
Sr: 0.0000 0.0000 0.0000  2 P 2.63, 4 S 2.64
S: 0.5000 0.0000 0.0000  2 Sr 2.64
S: 0.0000 0.5000 0.0000  2 Sr 2.64
P: 0.0000 0.0000 0.5000  2 Sr 2.63

Values from the calculation:
Excess energy over the best structure of this formula in the dataset: 1975 meV/atom
N(E_F): 9.68 states/eV per cell
Uncorrected energy: -18.977 eV per formula unit
Formation energy without anion corrections: 0.85 eV per atom
Total magnetization: 0.0 μB per formula unit

11.
The following is a GGA-PBE calculation of a relaxed structure of CoAsIr4, from the Alexandria database.

Cell lengths 5.1797, 5.1797, 5.1797 Å; angles 60.00, 60.00, 60.00 degrees
Closest atoms and distances in Å follow each position.
Positions (direct):
Ir: 0.8757 0.3748 0.3748  6 Ir 2.59
Ir: 0.3748 0.8757 0.3748  6 Ir 2.59
Ir: 0.3748 0.3748 0.8757  6 Ir 2.59
Ir: 0.3748 0.3748 0.3748  6 Ir 2.59
As: 0.7500 0.7500 0.7500  12 Ir 3.04, 4 Co 3.17
Co: 0.0000 0.0000 0.0000  12 Ir 3.04, 4 As 3.17

Values from the calculation:
N(E_F): 10.51 states/eV per cell
Uncorrected energy: -43.056 eV per formula unit
Formation enthalpy at 0 K: 15.927 kcal/mol of atoms
Total magnetization: 3.2 μB per formula unit

12.
The following is a GGA-PBE calculation of a relaxed structure of Ba2AlNi, from the Alexandria database.

Cell lengths 3.9979, 3.9979, 7.8391 Å; angles 90.00, 90.00, 90.00 degrees
Closest atoms and distances in Å follow each position.
Positions (direct):
Ni: 0.5000 0.5000 0.2500  8 Ba 3.36
Ba: 0.0000 0.0000 0.0176  4 Ni 3.36, 4 Al 3.52, 1 Ba 3.64
Ba: 0.0000 0.0000 0.4824  4 Ni 3.36, 4 Al 3.52, 1 Ba 3.64
Al: 0.5000 0.5000 0.7500  8 Ba 3.52, 2 Ni 3.92

Values from the calculation:
N(E_F): 3.36 states/eV per cell
Uncorrected energy: -12.769 eV per formula unit
Formation enthalpy at 0 K: 3.459 kcal/mol of atoms
Total magnetization: 0.0 μB per formula unit

Please write out number 8 again, unchanged.
The following is a GGA-PBE calculation of a relaxed structure of TiBeAl, from the Alexandria database.

Cell lengths 4.4799, 4.4799, 5.4891 Å; angles 114.08, 114.08, 90.00 degrees
Closest atoms and distances in Å follow each position.
Positions (direct):
Ti: 0.7301 0.2301 0.4601  3 Be 2.25-2.44
Ti: 0.4801 0.4801 0.9601  3 Be 2.25-2.44
Be: 0.7519 0.7519 0.5037  3 Al 2.24-2.39, 3 Ti 2.25-2.44
Be: 0.0019 0.5019 0.0037  3 Al 2.24-2.39, 3 Ti 2.25-2.44
Al: 0.2681 0.7681 0.5361  3 Be 2.24-2.39
Al: 0.0181 0.0181 0.0361  3 Be 2.24-2.39

Values from the calculation:
Excess energy over the best structure of this formula in the dataset: 643 meV/atom
N(E_F): 3.49 states/eV per cell
Uncorrected energy: -14.300 eV per formula unit
Formation enthalpy at 0 K: 8.176 kcal/mol of atoms
Total magnetization: 0.0 μB per formula unit

Look up the total magnetization of the twelfth one.
0.0 μB per formula unit